Record 1
Material: YTiRe2Tc
Method: DFT, PBE-GGA
State: optimized geometry

Summary:
Energy ... -7.3563 eV per atom
Crystal system ... tetragonal

Unit cell a=4.776 b=4.776 c=4.658 alpha=90.00 beta=90.00 gamma=90.00
Positions (direct):
Y 0.000 0.000 0.000
Ti 0.500 0.500 0.500
Re 0.000 0.500 0.000
Re 0.500 0.000 0.000
Tc 0.000 0.000 0.500

Record 2
Material: Ho2InGa2Pd5
Method: DFT, PBE-GGA
State: optimized geometry

Summary:
Energy ... -5.1380 eV per atom
Crystal system ... tetragonal

Unit cell a=9.881 b=9.881 c=3.773 alpha=90.00 beta=90.00 gamma=90.00
Positions (direct):
Ho 0.176 0.324 0.000
Ho 0.324 0.824 0.000
Ho 0.676 0.176 0.000
Ho 0.824 0.676 0.000
In 0.000 0.000 0.000
In 0.500 0.500 0.000
Ga 0.122 0.622 0.000
Ga 0.378 0.122 0.000
Ga 0.622 0.878 0.000
Ga 0.878 0.378 0.000
Pd 0.000 0.500 0.500
Pd 0.065 0.790 0.500
Pd 0.210 0.065 0.500
Pd 0.290 0.565 0.500
Pd 0.435 0.290 0.500
Pd 0.500 0.000 0.500
Pd 0.565 0.710 0.500
Pd 0.710 0.435 0.500
Pd 0.790 0.935 0.500
Pd 0.935 0.210 0.500

Record 3
Material: Cu3Ru
Method: DFT, PBE-GGA
State: optimized geometry

Summary:
Energy ... -5.0824 eV per atom
Crystal system ... cubic

Unit cell a=4.161 b=4.161 c=4.161 alpha=60.00 beta=60.00 gamma=60.00
Positions (direct):
Cu 0.000 0.000 0.000
Cu 0.250 0.250 0.250
Cu 0.750 0.750 0.750
Ru 0.500 0.500 0.500

Record 4
Material: NdBe2SiN
Method: DFT, PBE-GGA
State: optimized geometry

Summary:
Energy ... -5.8743 eV per atom
Crystal system ... orthorhombic

Unit cell a=5.737 b=5.737 c=6.607 alpha=90.00 beta=90.00 gamma=141.63
Positions (direct):
Nd 0.060 0.940 0.750
Nd 0.940 0.060 0.250
Be 0.357 0.643 0.573
Be 0.357 0.643 0.927
Be 0.643 0.357 0.073
Be 0.643 0.357 0.427
Si 0.220 0.780 0.250
Si 0.780 0.220 0.750
N 0.500 0.500 0.000
N 0.500 0.500 0.500

Record 5
Material: BeCoRe2
Method: DFT, PBE-GGA
State: optimized geometry

Summary:
Energy ... -8.8355 eV per atom
Crystal system ... tetragonal

Unit cell a=4.587 b=4.587 c=4.587 alpha=133.49 beta=133.49 gamma=67.88
Positions (direct):
Be 0.000 0.000 0.000
Co 0.500 0.500 0.000
Re 0.250 0.750 0.500
Re 0.750 0.250 0.500

Record 6
Material: Gd2HRh4
Method: DFT, PBE-GGA
State: optimized geometry

Summary:
Energy ... -9.1526 eV per atom
Crystal system ... tetragonal

Unit cell a=7.594 b=7.594 c=7.594 alpha=148.97 beta=148.97 gamma=44.45
Positions (direct):
Gd 0.166 0.166 0.000
Gd 0.834 0.834 0.000
H 0.000 0.000 0.000
Rh 0.000 0.500 0.500
Rh 0.370 0.370 0.000
Rh 0.500 0.000 0.500
Rh 0.630 0.630 0.000

Record 7
Material: LiScCo
Method: DFT, PBE-GGA
State: optimized geometry

Summary:
Energy ... -4.4814 eV per atom
Distance to the lowest polymorph of the same formula ... 1.84 eV/f.u.
Crystal system ... cubic

Unit cell a=4.244 b=4.244 c=4.244 alpha=60.00 beta=60.00 gamma=60.00
Positions (direct):
Li 0.000 0.000 0.000
Sc 0.250 0.250 0.250
Co 0.500 0.500 0.500

Record 8
Material: Sm2Y4Sc3
Method: DFT, PBE-GGA
State: optimized geometry

Summary:
Energy ... -5.9215 eV per atom
Crystal system ... monoclinic

Unit cell a=9.680 b=9.680 c=6.052 alpha=94.25 beta=94.25 gamma=71.98
Positions (direct):
Sm 0.028 0.738 0.676
Sm 0.262 0.972 0.824
Sm 0.738 0.028 0.176
Sm 0.972 0.262 0.324
Y 0.078 0.352 0.844
Y 0.310 0.590 0.990
Y 0.352 0.078 0.344
Y 0.410 0.690 0.510
Y 0.590 0.310 0.490
Y 0.648 0.922 0.656
Y 0.690 0.410 0.010
Y 0.922 0.648 0.156
Sc 0.099 0.901 0.250
Sc 0.233 0.434 0.415
Sc 0.434 0.233 0.915
Sc 0.566 0.767 0.085
Sc 0.767 0.566 0.585
Sc 0.901 0.099 0.750